# MnSi2W PBE relaxed
# uncorrected formation energy	-31	kJ/mol of formula units
# space group	Amm2 (38)
# magnetization	1.21	Bohr magnetons per cell
data_MnSi2W
_symmetry_space_group_name_H-M 'P 1'
_symmetry_Int_Tables_number 1
_cell_length_a 3.9709
_cell_length_b 3.1010
_cell_length_c 4.6324
_cell_angle_alpha 70.46
_cell_angle_beta 90.00
_cell_angle_gamma 90.00
loop_
_symmetry_equiv_pos_as_xyz
'x,y,z'
loop_
_atom_site_label
_atom_site_type_symbol
_atom_site_fract_x
_atom_site_fract_y
_atom_site_fract_z
Si1 Si 0.0000 0.2136 0.9474
Si2 Si 0.5000 0.0391 0.2970
W1 W 0.0000 0.4880 0.3987
Mn1 Mn 0.5000 0.7593 0.8569

# MnSi2W PBE relaxed
# uncorrected formation energy	60	kJ/mol of formula units
# space group	Cmm2 (35)
# magnetization	1.76	Bohr magnetons per cell
data_MnSi2W
_symmetry_space_group_name_H-M 'P 1'
_symmetry_Int_Tables_number 1
_cell_length_a 2.6579
_cell_length_b 2.6579
_cell_length_c 8.0166
_cell_angle_alpha 90.00
_cell_angle_beta 90.00
_cell_angle_gamma 101.46
loop_
_symmetry_equiv_pos_as_xyz
'x,y,z'
loop_
_atom_site_label
_atom_site_type_symbol
_atom_site_fract_x
_atom_site_fract_y
_atom_site_fract_z
Si1 Si 0.0000 0.0000 0.9737
Si2 Si 0.5000 0.5000 0.2556
Mn1 Mn 0.5000 0.5000 0.7628
W1 W 0.0000 0.0000 0.5079

# MnSi2W PBE relaxed
# uncorrected formation energy	112	kJ/mol of formula units
# space group	I-42d (122)
# magnetization	3.53	Bohr magnetons per cell
data_MnSi2W
_symmetry_space_group_name_H-M 'P 1'
_symmetry_Int_Tables_number 1
_cell_length_a 3.6803
_cell_length_b 3.6803
_cell_length_c 9.0407
_cell_angle_alpha 78.26
_cell_angle_beta 78.26
_cell_angle_gamma 90.00
loop_
_symmetry_equiv_pos_as_xyz
'x,y,z'
loop_
_atom_site_label
_atom_site_type_symbol
_atom_site_fract_x
_atom_site_fract_y
_atom_site_fract_z
Si1 Si 0.6033 0.1250 0.2500
Si2 Si 0.3750 0.3967 0.7500
Si3 Si 0.1467 0.6250 0.2500
Si4 Si 0.8750 0.8533 0.7500
Mn1 Mn 0.5000 0.5000 0.0000
Mn2 Mn 0.2500 0.7500 0.5000
W1 W 0.7500 0.2500 0.5000
W2 W 0.0000 0.0000 0.0000

# MnSiW2 PBE relaxed
# uncorrected formation energy	29	kJ/mol of formula units
# space group	Pmmm (47)
# magnetization	0.48	Bohr magnetons per cell
data_MnSiW2
_symmetry_space_group_name_H-M 'P 1'
_symmetry_Int_Tables_number 1
_cell_length_a 2.7512
_cell_length_b 3.9234
_cell_length_c 5.1833
_cell_angle_alpha 90.00
_cell_angle_beta 90.00
_cell_angle_gamma 90.00
loop_
_symmetry_equiv_pos_as_xyz
'x,y,z'
loop_
_atom_site_label
_atom_site_type_symbol
_atom_site_fract_x
_atom_site_fract_y
_atom_site_fract_z
Mn1 Mn 0.5000 0.5000 0.2500
Si1 Si 0.5000 0.5000 0.7500
W1 W 0.0000 0.0000 0.0006
W2 W 0.0000 0.0000 0.4994

# MnSi2W PBE relaxed
# uncorrected formation energy	-49	kJ/mol of formula units
# space group	Cm (8)
# magnetization	0.00	Bohr magnetons per cell
data_MnSi2W
_symmetry_space_group_name_H-M 'P 1'
_symmetry_Int_Tables_number 1
_cell_length_a 4.5558
_cell_length_b 4.5558
_cell_length_c 4.3545
_cell_angle_alpha 73.67
_cell_angle_beta 73.67
_cell_angle_gamma 37.10
loop_
_symmetry_equiv_pos_as_xyz
'x,y,z'
loop_
_atom_site_label
_atom_site_type_symbol
_atom_site_fract_x
_atom_site_fract_y
_atom_site_fract_z
Si1 Si 0.9915 0.9915 0.0407
Si2 Si 0.7490 0.7490 0.7332
W1 W 0.5040 0.5040 0.5356
Mn1 Mn 0.2555 0.2555 0.1905

# MnSi4W PBE relaxed
# uncorrected formation energy	240	kJ/mol of formula units
# space group	F-43m (216)
# magnetization	2.77	Bohr magnetons per cell
data_MnSi4W
_symmetry_space_group_name_H-M 'P 1'
_symmetry_Int_Tables_number 1
_cell_length_a 4.8124
_cell_length_b 4.8124
_cell_length_c 4.8124
_cell_angle_alpha 60.00
_cell_angle_beta 60.00
_cell_angle_gamma 60.00
loop_
_symmetry_equiv_pos_as_xyz
'x,y,z'
loop_
_atom_site_label
_atom_site_type_symbol
_atom_site_fract_x
_atom_site_fract_y
_atom_site_fract_z
Si1 Si 0.8755 0.3748 0.3748
Si2 Si 0.3748 0.3748 0.3748
Si3 Si 0.3748 0.8755 0.3748
Si4 Si 0.3748 0.3748 0.8755
W1 W 0.7500 0.7500 0.7500
Mn1 Mn 0.0000 0.0000 0.0000